Sc3SeS | Alexandria via LeMat-Bulk | PBEsol | optimized geometry; energy relative to the elements, uncorrected = -0.36 eV per atom
1.0
4.912 0.000 0.000
0.000 4.912 0.000
0.000 0.000 4.912
S Sc Se
1 3 1
direct
0.500 0.500 0.500
0.000 0.000 0.500
0.000 0.500 0.000
0.500 0.000 0.000
0.000 0.000 0.000